<A>
In2CuCl | PBEsol | optimized geometry

Lattice parameters (Å, degrees): 3.2007 5.2895 9.9129 90.00 90.00 90.00
Element x y z (fractional)
In 0.0000 0.0000 0.0000
In 0.0000 0.5000 0.2152
In 0.5000 0.0000 0.7152
In 0.5000 0.5000 0.5000
Cu 0.0000 0.0000 0.4995
Cu 0.5000 0.5000 0.9995
Cl 0.0000 0.5000 0.8167
Cl 0.5000 0.0000 0.3167

Output
DOS(E_F) = 0.333 states/eV/atom

<B>
In2CuCl | PBEsol | optimized geometry

Lattice parameters (Å, degrees): 3.2169 4.7551 5.5353 90.00 90.00 90.00
Element x y z (fractional)
In 0.0000 0.0000 0.0000
In 0.5000 0.5000 0.5000
Cu 0.0000 0.0000 0.5000
Cl 0.5000 0.5000 0.0000

Output
DOS(E_F) = 0.283 states/eV/atom

Which is most stable? The ranking, best first, is <B>, <A>.

<A>
CuIrCl2 | PBEsol | optimized geometry

Lattice parameters (Å, degrees): 15.0821 2.6627 4.2838 90.00 106.24 90.00
Element x y z (fractional)
Cu 0.0000 0.0000 0.0000
Cu 0.5000 0.5000 0.0000
Ir 0.0000 0.5000 0.5000
Ir 0.5000 0.0000 0.5000
Cl 0.1561 0.5000 0.6546
Cl 0.3439 0.0000 0.3454
Cl 0.6561 0.0000 0.6546
Cl 0.8439 0.5000 0.3454

Output
DOS(E_F) = 1.136 states/eV/atom

<B>
CuIrCl2 | PBEsol | optimized geometry

Lattice parameters (Å, degrees): 3.0437 3.4612 13.5786 90.00 90.00 90.00
Element x y z (fractional)
Cu 0.0000 0.0000 0.0000
Cu 0.5000 0.5000 0.5000
Ir 0.0000 0.5000 0.6535
Ir 0.5000 0.0000 0.1535
Cl 0.0000 0.0000 0.4338
Cl 0.0000 0.5000 0.2031
Cl 0.5000 0.0000 0.7031
Cl 0.5000 0.5000 0.9338

Output
DOS(E_F) = 0.879 states/eV/atom

<C>
CuIrCl2 | PBEsol | optimized geometry

Lattice parameters (Å, degrees): 3.5659 3.2099 6.7883 90.00 100.36 90.00
Element x y z (fractional)
Cu 0.0000 0.0000 0.0000
Ir 0.5451 0.5000 0.1269
Cl 0.3253 0.5000 0.7846
Cl 0.6615 0.0000 0.3724

Output
DOS(E_F) = 0.508 states/eV/atom

<D>
CuIrCl2 | PBEsol | optimized geometry

Lattice parameters (Å, degrees): 2.9575 2.9575 6.9258 90.00 90.00 90.00
Element x y z (fractional)
Cu 0.0000 0.0000 0.0000
Ir 0.0000 0.0000 0.5000
Cl 0.5000 0.5000 0.2301
Cl 0.5000 0.5000 0.7699

Output
DOS(E_F) = 0.916 states/eV/atom

Which is most stable? The ranking, best first, is <A>, <C>, <B>, <D>.

<A>
La2CuCl | PBEsol | optimized geometry

Lattice parameters (Å, degrees): 4.2345 4.2345 19.7776 90.00 90.00 120.00
Element x y z (fractional)
La 0.0000 0.0000 0.2490
La 0.0000 0.0000 0.7510
La 0.3333 0.6667 0.4176
La 0.3333 0.6667 0.9157
La 0.6667 0.3333 0.0843
La 0.6667 0.3333 0.5824
Cu 0.0000 0.0000 0.0000
Cu 0.3333 0.6667 0.6667
Cu 0.6667 0.3333 0.3333
Cl 0.0000 0.0000 0.5000
Cl 0.3333 0.6667 0.1667
Cl 0.6667 0.3333 0.8333

Output
DOS(E_F) = 0.672 states/eV/atom

<B>
La2CuCl | PBEsol | optimized geometry

Lattice parameters (Å, degrees): 4.5450 3.6658 11.4520 90.00 90.00 90.00
Element x y z (fractional)
La 0.0000 0.0000 0.0000
La 0.0000 0.5000 0.5000
La 0.5000 0.0000 0.2497
La 0.5000 0.5000 0.7497
Cu 0.5000 0.0000 0.5057
Cu 0.5000 0.5000 0.0057
Cl 0.0000 0.0000 0.7410
Cl 0.0000 0.5000 0.2410

Output
DOS(E_F) = 0.787 states/eV/atom

<C>
La2CuCl | PBEsol | optimized geometry

Lattice parameters (Å, degrees): 3.3432 4.9366 5.5544 90.00 90.00 90.00
Element x y z (fractional)
La 0.0000 0.0000 0.0000
La 0.0000 0.5000 0.5000
Cu 0.5000 0.0000 0.5000
Cl 0.5000 0.5000 0.0000

Output
DOS(E_F) = 0.972 states/eV/atom

<D>
La2CuCl | PBEsol | optimized geometry

Lattice parameters (Å, degrees): 4.0979 5.9937 4.0985 90.00 90.00 90.00
Element x y z (fractional)
La 0.0000 0.0000 0.0000
La 0.5000 0.5000 0.4992
Cu 0.5000 0.0000 0.5008
Cl 0.0000 0.5000 0.9993

Output
DOS(E_F) = 0.525 states/eV/atom

Which is most stable? The ranking, best first, is <D>, <A>, <B>, <C>.

<A>
MgCuCl2 | PBEsol | optimized geometry

Lattice parameters (Å, degrees): 4.5117 4.5117 3.3297 90.00 90.00 90.00
Element x y z (fractional)
Mg 0.0000 0.0000 0.0000
Cu 0.5000 0.5000 0.0000
Cl 0.0000 0.5000 0.5000
Cl 0.5000 0.0000 0.5000

Output
DOS(E_F) = 0.333 states/eV/atom

<B>
MgCuCl2 | PBEsol | optimized geometry

Lattice parameters (Å, degrees): 3.0688 3.0688 9.2582 90.00 90.00 90.00
Element x y z (fractional)
Mg 0.0000 0.0000 0.0000
Cu 0.0000 0.0000 0.5000
Cl 0.5000 0.5000 0.1621
Cl 0.5000 0.5000 0.8379

Output
DOS(E_F) = 0.141 states/eV/atom

Which is most stable? The ranking, best first, is <B>, <A>.

<A>
Mn2CuCl | PBEsol | optimized geometry

Lattice parameters (Å, degrees): 6.0624 6.0624 6.0624 90.00 90.00 90.00
Element x y z (fractional)
Mn 0.0000 0.0000 0.0000
Mn 0.0000 0.5000 0.5000
Mn 0.2500 0.2500 0.2500
Mn 0.2500 0.7500 0.7500
Mn 0.5000 0.0000 0.5000
Mn 0.5000 0.5000 0.0000
Mn 0.7500 0.2500 0.7500
Mn 0.7500 0.7500 0.2500
Cu 0.0000 0.0000 0.5000
Cu 0.0000 0.5000 0.0000
Cu 0.5000 0.0000 0.0000
Cu 0.5000 0.5000 0.5000
Cl 0.2500 0.2500 0.7500
Cl 0.2500 0.7500 0.2500
Cl 0.7500 0.2500 0.2500
Cl 0.7500 0.7500 0.7500

Output
DOS(E_F) = 0.909 states/eV/atom

<B>
Mn2CuCl | PBEsol | optimized geometry

Lattice parameters (Å, degrees): 2.9211 2.9211 6.8146 90.00 90.00 90.00
Element x y z (fractional)
Mn 0.0000 0.0000 0.2248
Mn 0.0000 0.0000 0.7752
Cu 0.5000 0.5000 0.0000
Cl 0.5000 0.5000 0.5000

Output
DOS(E_F) = 0.776 states/eV/atom

Which is most stable? The ranking, best first, is <B>, <A>.

<A>
CuNiCl2 | PBEsol | optimized geometry

Lattice parameters (Å, degrees): 3.1346 3.3021 13.0061 90.00 90.00 90.00
Element x y z (fractional)
Cu 0.0000 0.0000 0.0000
Cu 0.5000 0.5000 0.5000
Ni 0.0000 0.5000 0.6565
Ni 0.5000 0.0000 0.1565
Cl 0.0000 0.0000 0.4428
Cl 0.0000 0.5000 0.1928
Cl 0.5000 0.0000 0.6928
Cl 0.5000 0.5000 0.9428

Output
DOS(E_F) = 0.813 states/eV/atom

<B>
CuNiCl2 | PBEsol | optimized geometry

Lattice parameters (Å, degrees): 3.7287 3.3502 5.9403 90.00 91.91 90.00
Element x y z (fractional)
Cu 0.0000 0.0000 0.0000
Ni 0.5013 0.5000 0.1038
Cl 0.2205 0.5000 0.7747
Cl 0.6829 0.0000 0.3198

Output
DOS(E_F) = 0.794 states/eV/atom

Which is most stable? The ranking, best first, is <B>, <A>.